The following is a GGA-PBE calculation of a relaxed Pa3GaSe2O6 crystal, from Alexandria via LeMat-Bulk.

Size of the total moment in μB/cell: 0.0
ΔE_f (raw) in eV per atom: -2.64
Total energy in eV per atom: -8.329

Structure (CIF):
```
data_Pa3GaSe2O6
_chemical_formula_sum 'Pa6 Ga2 Se4 O12'
_cell_length_a 13.0188
_cell_length_b 7.5781
_cell_length_c 5.8482
_cell_angle_alpha 90.00
_cell_angle_beta 109.89
_cell_angle_gamma 90.00
_space_group_name_H-M_alt 'C 1 2/m 1'
_space_group_IT_number 12
loop_
_space_group_symop_operation_xyz
'x,y,z'
'-x,-y,-z'
'-x,y,-z'
'x,-y,z'
'x+1/2,y+1/2,z'
'-x+1/2,-y+1/2,-z'
'-x+1/2,y+1/2,-z'
'x+1/2,-y+1/2,z'
loop_
_atom_site_label
_atom_site_fract_x
_atom_site_fract_y
_atom_site_fract_z
Pa1 0.0000 0.0000 0.0000
Pa2 0.2500 0.2500 0.5000
Ga1 0.0000 0.5000 0.5000
Se1 0.1808 0.0000 0.7991
O1 0.0935 0.2002 0.2374
O2 0.1913 0.5000 0.5757
```

***

The following is a GGA-PBE calculation of a relaxed NdDyBr crystal, from Alexandria via LeMat-Bulk.

Size of the total moment in μB/cell: 0.4
ΔE_f (raw) in eV per atom: -0.74
Excess energy over the best structure of this formula in the dataset in eV per formula unit: 0.00
Total energy in eV per atom: -4.425

Structure (CIF):
```
data_NdDyBr
_chemical_formula_sum 'Nd1 Dy1 Br1'
_cell_length_a 3.7695
_cell_length_b 3.7695
_cell_length_c 7.4774
_cell_angle_alpha 90.00
_cell_angle_beta 90.00
_cell_angle_gamma 120.00
_space_group_name_H-M_alt 'P 3 m 1'
_space_group_IT_number 156
loop_
_space_group_symop_operation_xyz
'x,y,z'
'-y,x-y,z'
'-x+y,-x,z'
'-y,-x,z'
'-x+y,y,z'
'x,x-y,z'
loop_
_atom_site_label
_atom_site_fract_x
_atom_site_fract_y
_atom_site_fract_z
Nd1 0.0000 0.0000 0.0000
Dy1 0.3333 0.6667 0.6329
Br1 0.6667 0.3333 0.3315
```

***

The following is a GGA-PBE calculation of a relaxed TlTc4Ir crystal, from Alexandria via LeMat-Bulk.

Size of the total moment in μB/cell: 0.0
E_form in eV/f.u.: 3.78
Total energy in eV per atom: -8.152

Structure (CIF):
```
data_TlTc4Ir
_chemical_formula_sum 'Tl4 Tc16 Ir4'
_cell_length_a 7.3218
_cell_length_b 7.3218
_cell_length_c 7.3218
_cell_angle_alpha 90.00
_cell_angle_beta 90.00
_cell_angle_gamma 90.00
_space_group_name_H-M_alt 'F -4 3 m'
_space_group_IT_number 216
_space_group_name_Hall 'F -4 2 3'
loop_
_atom_site_label
_atom_site_fract_x
_atom_site_fract_y
_atom_site_fract_z
Tl1 0.0000 0.0000 0.0000
Tc1 0.1242 0.1242 0.3758
Ir1 0.2500 0.2500 0.7500
```

***

- total energy of number 2 (NdDyBr)?
  -4.425 eV per atom

***

- What is the size of the total moment in the third record?
  0.0 μB/cell

***

- Which of these has the highest size of the total moment?
  NdDyBr